No. 1
A plane-wave DFT calculation with PBE was carried out for crystalline Rb2AsOsBr6 at its relaxed geometry.

The total energy is -33.308 eV/cell. For the formation energy from raw total energies, the calculation gives -0.55 eV per atom. For the calculated volume, the calculation gives 314.1 Å³/cell.

Lattice parameters (Å, degrees): 7.6504 7.6504 7.6504 120.52 120.52 89.11
Last column: nearest neighbours and their distance in Å.
Atoms (fractional coordinates):
Rb: 0.2500 0.7500 0.5000  12 Br 3.80-3.83
Rb: 0.7500 0.2500 0.5000  12 Br 3.80-3.83
As: 0.0000 0.0000 0.0000  6 Br 2.80-2.88
Os: 0.5000 0.5000 0.0000  6 Br 2.57
Br: 0.2605 0.2605 0.5209  1 Os 2.57, 1 As 2.80
Br: 0.2605 0.7395 0.0000  1 Os 2.57, 1 As 2.80
Br: 0.2641 0.2641 0.0000  1 Os 2.57, 1 As 2.88
Br: 0.7359 0.7359 0.0000  1 Os 2.57, 1 As 2.88
Br: 0.7395 0.2605 0.0000  1 Os 2.57, 1 As 2.80
Br: 0.7395 0.7395 0.4791  1 Os 2.57, 1 As 2.80



No. 2
A plane-wave DFT calculation with PBE was carried out for crystalline RbAs2OsBr at its relaxed geometry.

The polymorph energy (0 for the lowest one) comes out at 0 meV per atom. The total energy is -23.336 eV/cell. For the formation energy from raw total energies, the calculation gives -0.03 eV per atom. For the calculated volume, the calculation gives 138.4 Å³/cell.

Lattice parameters (Å, degrees): 4.7578 4.7578 6.1141 90.00 90.00 90.00
Last column: nearest neighbours and their distance in Å.
Atoms (fractional coordinates):
Rb: 0.0000 0.0000 0.0000  4 Br 3.36
As: 0.0000 0.5000 0.5000  2 Os 2.38
As: 0.5000 0.0000 0.5000  2 Os 2.38
Os: 0.5000 0.5000 0.5000  4 As 2.38
Br: 0.5000 0.5000 0.0000  2 Os 3.06, 4 Rb 3.36



No. 3
A plane-wave DFT calculation with PBE was carried out for crystalline As2OsRuBr at its relaxed geometry.

The polymorph energy (0 for the lowest one) comes out at 0 meV per atom. The total energy is -25.263 eV/cell. For the formation energy from raw total energies, the calculation gives 1.24 eV per atom. For the calculated volume, the calculation gives 116.6 Å³/cell.

Lattice parameters (Å, degrees): 4.7096 4.7096 5.2571 90.00 90.00 90.00
Last column: nearest neighbours and their distance in Å.
Atoms (fractional coordinates):
As: 0.0000 0.5000 0.0000  2 Os 2.35
As: 0.5000 0.0000 0.0000  2 Os 2.35
Os: 0.0000 0.0000 0.0000  4 As 2.35, 2 Br 2.63
Ru: 0.5000 0.5000 0.5000  4 Br 3.33, 8 As 3.53
Br: 0.0000 0.0000 0.5000  2 Os 2.63



No. 4
A plane-wave DFT calculation with PBE was carried out for crystalline SbAs2OsBr at its relaxed geometry.

The polymorph energy (0 for the lowest one) comes out at 0 meV per atom. The total energy is -23.211 eV/cell. For the formation energy from raw total energies, the calculation gives 0.62 eV per atom. For the calculated volume, the calculation gives 119.9 Å³/cell.

Lattice parameters (Å, degrees): 4.7716 4.7716 5.2647 90.00 90.00 90.00
Last column: nearest neighbours and their distance in Å.
Atoms (fractional coordinates):
Sb: 0.0000 0.0000 0.0000  4 Br 3.37, 8 As 3.55
As: 0.0000 0.5000 0.5000  2 Os 2.39
As: 0.5000 0.0000 0.5000  2 Os 2.39
Os: 0.5000 0.5000 0.5000  4 As 2.39, 2 Br 2.63
Br: 0.5000 0.5000 0.0000  2 Os 2.63



No. 5
A plane-wave DFT calculation with PBE was carried out for crystalline SbAsOsBr2 at its relaxed geometry.

The polymorph energy (0 for the lowest one) comes out at 0 meV per atom. The total energy is -19.981 eV/cell. For the formation energy from raw total energies, the calculation gives 0.67 eV per atom. For the calculated volume, the calculation gives 124.8 Å³/cell.

Lattice parameters (Å, degrees): 5.1144 5.1144 4.7714 90.00 90.00 90.00
Last column: nearest neighbours and their distance in Å.
Atoms (fractional coordinates):
Sb: 0.0000 0.0000 0.0000  8 Br 3.50, 4 As 3.62
As: 0.5000 0.5000 0.0000  2 Os 2.39
Os: 0.5000 0.5000 0.5000  2 As 2.39, 4 Br 2.56
Br: 0.0000 0.5000 0.5000  2 Os 2.56
Br: 0.5000 0.0000 0.5000  2 Os 2.56



No. 6
A plane-wave DFT calculation with PBE was carried out for crystalline ScAs2OsBr at its relaxed geometry.

The polymorph energy (0 for the lowest one) comes out at 676 meV per atom. The total energy is -23.226 eV/cell. For the formation energy from raw total energies, the calculation gives 1.06 eV per atom. For the calculated volume, the calculation gives 132.3 Å³/cell.

Lattice parameters (Å, degrees): 5.1726 5.1726 4.9432 90.00 90.00 90.00
Last column: nearest neighbours and their distance in Å.
Atoms (fractional coordinates):
Sc: 0.0000 0.0000 0.0000  2 Br 2.47, 4 As 2.59
As: 0.0000 0.5000 0.0000  2 Sc 2.59
As: 0.5000 0.0000 0.0000  2 Sc 2.59
Os: 0.5000 0.5000 0.5000  8 As 3.58, 4 Br 3.66
Br: 0.0000 0.0000 0.5000  2 Sc 2.47



No. 7
A plane-wave DFT calculation with PBE was carried out for crystalline ScAs2OsBr at its relaxed geometry.

The polymorph energy (0 for the lowest one) comes out at 0 meV per atom. The total energy is -26.605 eV/cell. For the formation energy from raw total energies, the calculation gives 0.39 eV per atom. For the calculated volume, the calculation gives 118.6 Å³/cell.

Lattice parameters (Å, degrees): 4.7537 4.7537 5.2467 90.00 90.00 90.00
Last column: nearest neighbours and their distance in Å.
Atoms (fractional coordinates):
Sc: 0.0000 0.0000 0.0000  4 Br 3.36, 8 As 3.54
As: 0.0000 0.5000 0.5000  2 Os 2.38
As: 0.5000 0.0000 0.5000  2 Os 2.38
Os: 0.5000 0.5000 0.5000  4 As 2.38, 2 Br 2.62
Br: 0.5000 0.5000 0.0000  2 Os 2.62



No. 8
A plane-wave DFT calculation with PBE was carried out for crystalline As2OsSeBr at its relaxed geometry.

The polymorph energy (0 for the lowest one) comes out at 1188 meV per atom. The total energy is -16.937 eV/cell. For the formation energy from raw total energies, the calculation gives 1.75 eV per atom. For the calculated volume, the calculation gives 126.3 Å³/cell.

Lattice parameters (Å, degrees): 5.0808 5.0808 4.8912 90.00 90.00 90.00
Last column: nearest neighbours and their distance in Å.
Atoms (fractional coordinates):
As: 0.0000 0.5000 0.0000  2 Se 2.54
As: 0.5000 0.0000 0.0000  2 Se 2.54
Os: 0.0000 0.0000 0.5000  8 As 3.53, 4 Br 3.59
Se: 0.5000 0.5000 0.0000  2 Br 2.45, 4 As 2.54
Br: 0.5000 0.5000 0.5000  2 Se 2.45



Which formula does entry 8 have?
As2OsSeBr



Look up the calculated volume of the fifth one.
124.8 Å³/cell



Which formula does entry 4 have?
SbAs2OsBr



calculated volume of number 6 (ScAs2OsBr)?
132.3 Å³/cell